VASP calculation (PBE) on BaAl2Ag after structural relaxation.

Properties
calculated formation energy	0.120	eV/atom

abc: 7.3335 7.3335 7.3335
angles: 90.00 90.00 90.00
Closest atoms and distances in Å follow each position.
Space group Fm-3m (No. 225)
Inequivalent atoms, fractional coordinates:
Ba (0.0000, 0.0000, 0.0000)  8 Al 3.18
Al (0.2500, 0.2500, 0.2500)  4 Ba 3.18, 4 Ag 3.18
Ag (0.0000, 0.0000, 0.5000)  8 Al 3.18

VASP calculation (PBE) on TlRu2Rh2 after structural relaxation.

Properties
calculated formation energy	0.390	eV/atom

abc: 7.6092 7.6092 2.8214
angles: 90.00 90.00 90.00
Closest atoms and distances in Å follow each position.
Space group P4/mbm (No. 127)
Inequivalent atoms, fractional coordinates:
Tl (0.0000, 0.0000, 0.0000)  2 Tl 2.82, 4 Ru 3.03, 8 Rh 3.15
Ru (0.1199, 0.3801, 0.0000)  3 Ru 2.58-2.82, 6 Rh 2.64-2.67
Rh (0.1728, 0.6728, 0.5000)  6 Ru 2.64-2.67, 2 Rh 2.82

VASP calculation (PBE) on RbLi2Bi after structural relaxation.

Properties
calculated formation energy	-0.468	eV/atom

abc: 4.9190 4.9190 18.7150
angles: 90.00 90.00 120.00
Closest atoms and distances in Å follow each position.
Space group R-3m (No. 166, hexagonal axes)
Inequivalent atoms, fractional coordinates:
Rb (0.0000, 0.0000, 0.0000)  2 Li 3.47
Li (0.0000, 0.0000, 0.1855)  3 Bi 2.86, 3 Li 2.93
Bi (0.0000, 0.0000, 0.5000)  6 Li 2.86

> Which of these has the lowest calculated formation energy?

RbLi2Bi